Compound: NaTbIn4S8
Source: the Alexandria database
Functional: GGA-PBE
Structure: optimized geometry

Lattice parameters (Å, degrees): 7.9248 7.9248 7.9248 59.49 59.49 59.49
With the nearest neighbours (Å) after each atom.
Element x y z (fractional)
1 Na 0.0000 0.0000 0.0000  4 S 2.60-2.61
2 Tb 0.3644 0.3644 0.3644  6 S 2.69-2.83
3 In 0.3663 0.3663 0.8913  6 S 2.58-2.78
4 In 0.3663 0.8913 0.3663  6 S 2.58-2.78
5 In 0.7492 0.7492 0.7492  4 S 2.55-2.66
6 In 0.8913 0.3663 0.3663  6 S 2.58-2.78
7 S 0.1238 0.1238 0.5964  2 In 2.58, 1 Na 2.60, 1 Tb 2.69
8 S 0.1238 0.5964 0.1238  2 In 2.58, 1 Na 2.60, 1 Tb 2.69
9 S 0.1340 0.1340 0.1340  3 In 2.59, 1 Na 2.61
10 S 0.1454 0.6163 0.6163  3 In 2.55-2.78, 1 Tb 2.83
11 S 0.5964 0.1238 0.1238  2 In 2.58, 1 Na 2.60, 1 Tb 2.69
12 S 0.6126 0.6126 0.6126  4 In 2.66-2.76
13 S 0.6163 0.1454 0.6163  3 In 2.55-2.78, 1 Tb 2.83
14 S 0.6163 0.6163 0.1454  3 In 2.55-2.78, 1 Tb 2.83

Summary:
For the final energy, the calculation gives -62.122 eV/cell. As for the total moment: 0.000 μB per atom. The value obtained for the uncorrected formation energy is -871.4 meV per atom.

Compound: Na3In3TcS8
Source: the Alexandria database
Functional: GGA-PBE
Structure: optimized geometry

Lattice parameters (Å, degrees): 8.0619 8.0619 8.0619 56.10 56.10 56.10
With the nearest neighbours (Å) after each atom.
Element x y z (fractional)
1 Na 0.0000 0.5000 0.5000  6 S 2.90-2.91
2 Na 0.5000 0.0000 0.5000  6 S 2.90-2.91
3 Na 0.5000 0.5000 0.0000  6 S 2.90-2.91
4 In 0.0000 0.0000 0.5000  6 S 2.64-2.66
5 In 0.0000 0.5000 0.0000  6 S 2.64-2.66
6 In 0.5000 0.0000 0.0000  6 S 2.64-2.66
7 Tc 0.5000 0.5000 0.5000  6 S 2.47
8 S 0.2397 0.2397 0.2397  3 In 2.64, 3 Na 2.90
9 S 0.2586 0.7237 0.7237  1 Tc 2.47, 2 In 2.66
10 S 0.2763 0.2763 0.7414  1 Tc 2.47, 2 In 2.66
11 S 0.2763 0.7414 0.2763  1 Tc 2.47, 2 In 2.66
12 S 0.7237 0.2586 0.7237  1 Tc 2.47, 2 In 2.66
13 S 0.7237 0.7237 0.2586  1 Tc 2.47, 2 In 2.66
14 S 0.7414 0.2763 0.2763  1 Tc 2.47, 2 In 2.66
15 S 0.7603 0.7603 0.7603  3 In 2.64, 3 Na 2.90

Summary:
For the final energy, the calculation gives -66.545 eV/cell. As for the total moment: 0.197 μB per atom. The value obtained for the uncorrected formation energy is -732.5 meV per atom.

Compound: Na2InTeS
Source: the Alexandria database
Functional: GGA-PBE
Structure: optimized geometry

Lattice parameters (Å, degrees): 5.1879 5.1879 5.2436 90.00 90.00 90.00
With the nearest neighbours (Å) after each atom.
Element x y z (fractional)
1 Na 0.0000 0.5000 0.0000  2 S 2.59
2 Na 0.5000 0.0000 0.0000  2 S 2.59
3 In 0.0000 0.0000 0.5000  2 S 2.62
4 Te 0.5000 0.5000 0.5000  4 In 3.67, 8 Na 3.69
5 S 0.0000 0.0000 0.0000  4 Na 2.59, 2 In 2.62

Summary:
For the final energy, the calculation gives -15.844 eV/cell. The polymorph energy (0 for the lowest one) is 0.0 meV/atom. Its density of states at the Fermi level is 1.26 states/eV/f.u. As for the total moment: 0.000 μB per atom. The value obtained for the uncorrected formation energy is -639.6 meV per atom.

Compound: NaInTeS
Source: the Alexandria database
Functional: GGA-PBE
Structure: optimized geometry

Lattice parameters (Å, degrees): 4.2400 4.2400 8.1210 105.20 105.20 60.00
With the nearest neighbours (Å) after each atom.
Element x y z (fractional)
1 Na 0.0000 0.0000 0.0000  3 Te 3.04, 3 S 3.25
2 In 0.5267 0.5267 0.5800  1 Te 2.69, 3 S 2.69
3 Te 0.4113 0.4113 0.2331  1 In 2.69
4 S 0.2416 0.2416 0.7243  3 In 2.69

Summary:
For the final energy, the calculation gives -13.231 eV/cell. Its density of states at the Fermi level is 1.66 states/eV/f.u. As for the total moment: 0.000 μB per atom. The value obtained for the uncorrected formation energy is -476.1 meV per atom.

- The highest final energy belongs to which entry?
  NaInTeS